11
Lattice="-0.191 1.315 4.910 -5.018 -4.518 1.015 8.304 -4.324 -1.154" Properties=species:S:1:pos:R:3 comment="Pm4Er3Zn4 PBE-GGA relaxed" crystal_system=orthorhombic ef_ev_per_atom=-0.0886 pbc="T T T"
Pm 4.837 -2.753 0.925
Pm 0.604 -2.662 3.371
Pm -1.741 -4.773 3.845
Pm 2.492 -4.864 1.400
Er 1.092 -1.136 0.347
Er 2.003 -6.391 4.424
Er -2.509 -2.259 0.507
Zn -0.548 -4.297 1.129
Zn 3.644 -3.230 3.641
Zn -4.166 -3.007 3.278
Zn -1.042 -0.195 2.647